Cs2Zr3MnO8: relaxed, PBE with a Hubbard U.

total magnetic moment	5.00	Bohr magnetons per cell
symmetry	R3m (160)
total energy	-7.995	eV/atom
DOS(E_F)	0.0000	states/eV per atom

Lattice parameters (Å, degrees): 6.567 6.567 8.177 66.32 66.32 60.00
Last column: magnetic moment on the atom in μB.
Fractional positions:
Cs 0.138 0.138 0.586  0.00
Cs 0.493 0.493 0.521  0.00
Zr 0.491 0.990 0.028  0.01
Zr 0.990 0.491 0.028  0.01
Zr 0.491 0.491 0.028  0.01
Mn 0.975 0.975 0.076  4.62
O 0.274 0.274 0.177  0.00
O 0.706 0.706 0.881  0.00
O 0.212 0.212 0.887  0.02
O 0.689 0.212 0.887  0.02
O 0.212 0.689 0.887  0.02
O 0.762 0.296 0.180  0.02
O 0.296 0.762 0.180  0.02
O 0.762 0.762 0.180  0.02